Entry 1:
{"formula": "Tc2HgRhO8", "functional": "PBE", "state": "optimized geometry", "space_group": "R-3m (166)", "e_form_raw_ev_per_atom": -1.024, "n_ef_per_ev_fu": 4.12, "crystal_system": "trigonal", "magmom_total_mub_per_cell": 1.0, "e_tot_ev_per_atom": -6.694, "lattice_angstrom": [[2.899, 1.674, 8.312], [-2.899, 1.674, 8.312], [0.000, -3.347, 8.312]], "species": ["Tc", "Tc", "Hg", "Rh", "O", "O", "O", "O", "O", "O", "O", "O"], "frac_coords": [[0.237, 0.237, 0.237], [0.763, 0.763, 0.763], [0.000, 0.000, 0.000], [0.500, 0.500, 0.500], [0.120, 0.620, 0.620], [0.305, 0.305, 0.305], [0.380, 0.380, 0.880], [0.380, 0.880, 0.380], [0.620, 0.120, 0.620], [0.620, 0.620, 0.120], [0.695, 0.695, 0.695], [0.880, 0.380, 0.380]]}

=====

Entry 2:
{"formula": "MnAl2V8", "functional": "PBE", "state": "optimized geometry", "space_group": "C2/m (12)", "n_ef_per_ev_fu": 9.72, "crystal_system": "monoclinic", "e_form_ev_per_atom": 0.420, "magmom_total_mub_per_cell": 0.0, "e_tot_ev_per_atom": -7.726, "lattice_angstrom": [[4.806, -4.012, 0.000], [4.806, 4.012, 0.000], [-1.264, 0.000, 4.419]], "species": ["Mn", "Al", "Al", "V", "V", "V", "V", "V", "V", "V", "V"], "frac_coords": [[0.000, 0.000, 0.000], [0.141, 0.141, 0.514], [0.859, 0.859, 0.486], [0.160, 0.656, 0.145], [0.277, 0.277, 0.096], [0.344, 0.840, 0.855], [0.429, 0.429, 0.700], [0.571, 0.571, 0.300], [0.656, 0.160, 0.145], [0.723, 0.723, 0.904], [0.840, 0.344, 0.855]]}

=====

Entry 3:
{"formula": "La2TbBr6", "functional": "PBE", "state": "optimized geometry", "space_group": "P4_2/mnm (136)", "e_form_raw_ev_per_atom": -1.636, "n_ef_per_ev_fu": 4.49, "crystal_system": "tetragonal", "magmom_total_mub_per_cell": 2.1, "e_tot_ev_per_atom": -4.361, "lattice_angstrom": [[7.555, 0.000, 0.000], [0.000, 7.555, 0.000], [0.000, 0.000, 11.363]], "species": ["La", "La", "La", "La", "Tb", "Tb", "Br", "Br", "Br", "Br", "Br", "Br", "Br", "Br", "Br", "Br", "Br", "Br"], "frac_coords": [[0.000, 0.000, 0.163], [0.000, 0.000, 0.837], [0.500, 0.500, 0.337], [0.500, 0.500, 0.663], [0.000, 0.000, 0.500], [0.500, 0.500, 0.000], [0.213, 0.213, 0.339], [0.213, 0.213, 0.661], [0.230, 0.230, 0.000], [0.270, 0.730, 0.500], [0.287, 0.713, 0.161], [0.287, 0.713, 0.839], [0.713, 0.287, 0.161], [0.713, 0.287, 0.839], [0.730, 0.270, 0.500], [0.770, 0.770, 0.000], [0.787, 0.787, 0.339], [0.787, 0.787, 0.661]]}

=====

Entry 4:
{"formula": "Li2NiS", "functional": "PBE", "state": "optimized geometry", "space_group": "I-42d (122)", "e_form_raw_ev_per_atom": -0.243, "n_ef_per_ev_fu": 1.06, "crystal_system": "tetragonal", "magmom_total_mub_per_cell": 0.0, "e_tot_ev_per_atom": -3.677, "lattice_angstrom": [[-1.766, 1.766, 8.328], [1.766, -1.766, 8.328], [1.766, 1.766, -8.328]], "species": ["Li", "Li", "Li", "Li", "Ni", "Ni", "S", "S"], "frac_coords": [[0.103, 0.625, 0.978], [0.375, 0.353, 0.478], [0.647, 0.125, 0.022], [0.875, 0.897, 0.522], [0.250, 0.750, 0.500], [0.500, 0.500, 0.000], [0.000, 0.000, 0.000], [0.750, 0.250, 0.500]]}